# Tb5Sc4Tl4 (PBE-GGA, relaxed)
data_Tb5Sc4Tl4
_cell_length_a 8.9647
_cell_length_b 8.9647
_cell_length_c 8.9647
_cell_angle_alpha 94.12
_cell_angle_beta 94.12
_cell_angle_gamma 148.92
_symmetry_space_group_name_H-M 'P 1'
_symmetry_Int_Tables_number 1
_symmetry_space_group_name_Hall 'P 1'
loop_
_atom_site_label
_atom_site_type_symbol
_atom_site_fract_x
_atom_site_fract_y
_atom_site_fract_z
_atom_site_occupancy
Tb1 Tb 0.0000 0.0000 0.0000 1
Tb2 Tb 0.3065 0.6121 0.9186 1
Tb3 Tb 0.3879 0.3065 0.6944 1
Tb4 Tb 0.6121 0.6935 0.3056 1
Tb5 Tb 0.6935 0.3879 0.0814 1
Sc1 Sc 0.0961 0.4156 0.5117 1
Sc2 Sc 0.4156 0.9039 0.3195 1
Sc3 Sc 0.5844 0.0961 0.6805 1
Sc4 Sc 0.9039 0.5844 0.4883 1
Tl1 Tl 0.0822 0.7535 0.8357 1
Tl2 Tl 0.2465 0.0822 0.3287 1
Tl3 Tl 0.7535 0.9178 0.6713 1
Tl4 Tl 0.9178 0.2465 0.1643 1
# Fermi-level density of states	12.1	states/eV/cell
# energy of formation from the pure elements	-0.25	eV per atom

# BaLi2CuSn (PBE-GGA, relaxed)
data_BaLi2CuSn
_cell_length_a 5.1482
_cell_length_b 5.1482
_cell_length_c 4.9510
_cell_angle_alpha 90.00
_cell_angle_beta 90.00
_cell_angle_gamma 90.00
_symmetry_space_group_name_H-M 'P 1'
_symmetry_Int_Tables_number 1
_symmetry_space_group_name_Hall 'P 1'
loop_
_atom_site_label
_atom_site_type_symbol
_atom_site_fract_x
_atom_site_fract_y
_atom_site_fract_z
_atom_site_occupancy
Ba1 Ba 0.0000 0.0000 0.0000 1
Li1 Li 0.0000 0.5000 0.5000 1
Li2 Li 0.5000 0.0000 0.5000 1
Cu1 Cu 0.5000 0.5000 0.5000 1
Sn1 Sn 0.5000 0.5000 0.0000 1
# Fermi-level density of states	2.6	states/eV/cell
# energy of formation from the pure elements	-0.17	eV per atom

# La2Pr4Ho3 (PBE-GGA, relaxed)
data_La2Pr4Ho3
_cell_length_a 8.9716
_cell_length_b 8.9716
_cell_length_c 9.9696
_cell_angle_alpha 99.63
_cell_angle_beta 99.63
_cell_angle_gamma 23.19
_symmetry_space_group_name_H-M 'P 1'
_symmetry_Int_Tables_number 1
_symmetry_space_group_name_Hall 'P 1'
loop_
_atom_site_label
_atom_site_type_symbol
_atom_site_fract_x
_atom_site_fract_y
_atom_site_fract_z
_atom_site_occupancy
La1 La 0.1717 0.1717 0.3754 1
La2 La 0.8283 0.8283 0.6246 1
Pr1 Pr 0.0012 0.0012 0.8331 1
Pr2 Pr 0.1658 0.1658 0.7203 1
Pr3 Pr 0.8342 0.8342 0.2797 1
Pr4 Pr 0.9988 0.9988 0.1669 1
Ho1 Ho 0.3378 0.3378 0.9606 1
Ho2 Ho 0.5000 0.5000 0.5000 1
Ho3 Ho 0.6622 0.6622 0.0394 1
# Fermi-level density of states	13.9	states/eV/cell
# energy of formation from the pure elements	0.05	eV per atom
# energy relative to the lowest polymorph listed for this composition	0	meV/atom